Record 1
## Nd2SmHfP4 (PBE)

Data for an optimized crystal structure of Nd2SmHfP4.

The calculation puts the total magnetization at 0.0000 μB per atom. The energy of formation from the pure elements is -1.46 eV per atom. The density of states at the Fermi level comes out at 1.45 states/eV/f.u. The calculated volume is 23.04 Å³/atom. The symmetry is P2/m, No. 10.

Unit cell a=6.967 b=4.015 c=6.977 alpha=90.00 beta=109.18 gamma=90.00
Fractional coordinates of all 8 atoms:
Nd  0.000  0.000  0.000
Nd  0.500  0.500  0.000
Sm  0.000  0.500  0.500
Hf  0.500  0.000  0.500
P  0.259  0.000  0.736
P  0.270  0.500  0.272
P  0.730  0.500  0.728
P  0.741  0.000  0.264

Record 2
## Y3In12Hg5 (PBE)

Data for an optimized crystal structure of Y3In12Hg5.

The calculation puts the total magnetization at 0.0000 μB per atom. The energy of formation from the pure elements is 0.14 eV per atom. The density of states at the Fermi level comes out at 13.55 states/eV/f.u. The calculated volume is 33.15 Å³/atom. The symmetry is Ia-3d, No. 230.

Unit cell a=15.103 b=15.103 c=15.103 alpha=109.47 beta=109.47 gamma=109.47
Fractional coordinates of all 80 atoms:
Y  0.125  0.250  0.375
Y  0.125  0.375  0.750
Y  0.250  0.375  0.125
Y  0.250  0.875  0.625
Y  0.375  0.125  0.250
Y  0.375  0.750  0.125
Y  0.625  0.250  0.875
Y  0.625  0.875  0.750
Y  0.750  0.125  0.375
Y  0.750  0.625  0.875
Y  0.875  0.625  0.250
Y  0.875  0.750  0.625
In  0.058  0.224  0.131
In  0.058  0.334  0.927
In  0.073  0.631  0.407
In  0.073  0.942  0.666
In  0.093  0.724  0.666
In  0.093  0.869  0.427
In  0.131  0.058  0.224
In  0.131  0.573  0.907
In  0.166  0.224  0.593
In  0.166  0.442  0.573
In  0.224  0.131  0.058
In  0.224  0.593  0.166
In  0.276  0.334  0.907
In  0.276  0.442  0.369
In  0.334  0.907  0.276
In  0.334  0.927  0.058
In  0.369  0.276  0.442
In  0.369  0.593  0.927
In  0.407  0.073  0.631
In  0.407  0.834  0.776
In  0.427  0.093  0.869
In  0.427  0.834  0.558
In  0.442  0.369  0.276
In  0.442  0.573  0.166
In  0.558  0.427  0.834
In  0.558  0.631  0.724
In  0.573  0.166  0.442
In  0.573  0.907  0.131
In  0.593  0.166  0.224
In  0.593  0.927  0.369
In  0.631  0.407  0.073
In  0.631  0.724  0.558
In  0.666  0.073  0.942
In  0.666  0.093  0.724
In  0.724  0.558  0.631
In  0.724  0.666  0.093
In  0.776  0.407  0.834
In  0.776  0.869  0.942
In  0.834  0.558  0.427
In  0.834  0.776  0.407
In  0.869  0.427  0.093
In  0.869  0.942  0.776
In  0.907  0.131  0.573
In  0.907  0.276  0.334
In  0.927  0.058  0.334
In  0.927  0.369  0.593
In  0.942  0.666  0.073
In  0.942  0.776  0.869
Hg  0.000  0.000  0.000
Hg  0.000  0.000  0.500
Hg  0.000  0.500  0.000
Hg  0.000  0.500  0.500
Hg  0.125  0.750  0.875
Hg  0.125  0.875  0.250
Hg  0.250  0.125  0.875
Hg  0.250  0.625  0.375
Hg  0.375  0.250  0.625
Hg  0.375  0.625  0.750
Hg  0.500  0.000  0.000
Hg  0.500  0.000  0.500
Hg  0.500  0.500  0.000
Hg  0.500  0.500  0.500
Hg  0.625  0.375  0.250
Hg  0.625  0.750  0.375
Hg  0.750  0.375  0.625
Hg  0.750  0.875  0.125
Hg  0.875  0.125  0.750
Hg  0.875  0.250  0.125

Record 3
## CdP2S2 (PBE)

Data for an optimized crystal structure of CdP2S2.

The calculation puts the total magnetization at 0.0077 μB per atom. The calculation puts the excess energy over the best structure of this formula in the dataset at 0.864 eV per atom. The density of states at the Fermi level comes out at 3.68 states/eV/f.u. The calculated volume is 23.63 Å³/atom. The symmetry is P4/mmm, No. 123. The formation energy without anion corrections comes out at 1.357 eV per atom.

Unit cell a=4.855 b=4.855 c=5.013 alpha=90.00 beta=90.00 gamma=90.00
Fractional coordinates of all 5 atoms:
Cd  0.000  0.000  0.000
P  0.000  0.000  0.500
P  0.500  0.500  0.500
S  0.000  0.500  0.000
S  0.500  0.000  0.000

Record 4
## TbPm10Tm4 (PBE)

Data for an optimized crystal structure of TbPm10Tm4.

The calculation puts the total magnetization at 0.0000 μB per atom. The energy of formation from the pure elements is 0.69 eV per atom. The density of states at the Fermi level comes out at 20.88 states/eV/f.u. The calculated volume is 38.77 Å³/atom. The symmetry is I4/m, No. 87.

Unit cell a=9.493 b=9.493 c=9.493 alpha=99.57 beta=99.57 gamma=131.89
Fractional coordinates of all 15 atoms:
Tb  0.000  0.000  0.000
Pm  0.050  0.350  0.899
Pm  0.151  0.050  0.699
Pm  0.250  0.750  0.500
Pm  0.350  0.452  0.301
Pm  0.452  0.151  0.101
Pm  0.548  0.849  0.899
Pm  0.650  0.548  0.699
Pm  0.750  0.250  0.500
Pm  0.849  0.950  0.301
Pm  0.950  0.650  0.101
Tm  0.200  0.400  0.600
Tm  0.400  0.800  0.200
Tm  0.600  0.200  0.800
Tm  0.800  0.600  0.400

Record 5
## ReCl3 (PBE)

Data for an optimized crystal structure of ReCl3.

The calculation puts the total magnetization at 0.7813 μB per atom. The calculation puts the excess energy over the best structure of this formula in the dataset at 1.895 eV per atom. The density of states at the Fermi level comes out at 3.92 states/eV/f.u. The calculated volume is 18.69 Å³/atom. The symmetry is P4/mmm, No. 123. The formation energy without anion corrections comes out at 1.222 eV per atom.

Unit cell a=4.879 b=4.879 c=3.140 alpha=90.00 beta=90.00 gamma=90.00
Fractional coordinates of all 4 atoms:
Re  0.000  0.000  0.000
Cl  0.000  0.500  0.500
Cl  0.500  0.000  0.500
Cl  0.500  0.500  0.000

Record 6
## La2CrW (PBE)

Data for an optimized crystal structure of La2CrW.

The calculation puts the total magnetization at 1.1172 μB per atom. The energy of formation from the pure elements is 0.85 eV per atom. The calculation puts the excess energy over the best structure of this formula in the dataset at 0.455 eV per atom. The density of states at the Fermi level comes out at 5.08 states/eV/f.u. The calculated volume is 24.66 Å³/atom. The symmetry is Cmmm, No. 65.

Unit cell a=3.240 b=3.240 c=9.964 alpha=90.00 beta=90.00 gamma=109.41
Fractional coordinates of all 4 atoms:
La  0.000  0.000  0.230
La  0.000  0.000  0.770
Cr  0.500  0.500  0.500
W  0.500  0.500  0.000

Question: Number 2 is which compound?
Answer: Y3In12Hg5

Copy entry 5 word for word.
## ReCl3 (PBE)

Data for an optimized crystal structure of ReCl3.

The calculation puts the total magnetization at 0.7813 μB per atom. The calculation puts the excess energy over the best structure of this formula in the dataset at 1.895 eV per atom. The density of states at the Fermi level comes out at 3.92 states/eV/f.u. The calculated volume is 18.69 Å³/atom. The symmetry is P4/mmm, No. 123. The formation energy without anion corrections comes out at 1.222 eV per atom.

Unit cell a=4.879 b=4.879 c=3.140 alpha=90.00 beta=90.00 gamma=90.00
Fractional coordinates of all 4 atoms:
Re  0.000  0.000  0.000
Cl  0.000  0.500  0.500
Cl  0.500  0.000  0.500
Cl  0.500  0.500  0.000